No. 1
Density functional theory data (PBEsol) for a geometry-optimized Na2CoO3 structure.

Cell: 5.1774 5.3749 5.7155 Å, 104.60 100.92 112.77°
Last column: nearest neighbours and their distance in Å.
Atoms (fractional coordinates):
Na 0.5000 0.5000 0.5000  6 O 2.33-2.61
Na 0.0000 0.0000 0.0000  4 O 2.21-2.23
Na 0.8479 0.1651 0.4833  6 O 2.21-2.47
Na 0.1521 0.8349 0.5167  6 O 2.21-2.47
Co 0.3112 0.6451 0.0216  4 O 1.72-1.92
Co 0.6888 0.3549 0.9784  4 O 1.72-1.92
O 0.3198 0.3289 0.8016  2 Co 1.86-1.92
O 0.6802 0.6711 0.1984  2 Co 1.86-1.92
O 0.3922 0.9828 0.2225  1 Co 1.72
O 0.0336 0.4246 0.2030  1 Co 1.83
O 0.6078 0.0172 0.7775  1 Co 1.72
O 0.9664 0.5754 0.7970  1 Co 1.83

Summary:
spin magnetization: 6.06 Bohr magnetons per cell
DOS at the Fermi energy: 1.41 states/eV/f.u.
relative energy among the computed polymorphs: 90 meV/atom
energy relative to the elements, uncorrected: -1.20 eV/atom
crystal system: triclinic



No. 2
Density functional theory data (PBEsol) for a geometry-optimized Sr2GdCu3Pb2O8 structure.

Cell: 3.7894 3.7894 15.7066 Å, 90.00 90.00 90.00°
Last column: nearest neighbours and their distance in Å.
Atoms (fractional coordinates):
Sr 0.0000 0.0000 0.7791  9 O 2.55-2.75
Sr 0.0000 0.0000 0.2209  9 O 2.55-2.75
Gd 0.0000 0.0000 0.0000  8 O 2.41
Cu 0.0000 0.0000 0.5000  2 O 1.83
Cu 0.5000 0.5000 0.8946  4 O 1.90
Cu 0.5000 0.5000 0.1054  4 O 1.90
Pb 0.5000 0.5000 0.3882  1 O 2.16
Pb 0.5000 0.5000 0.6118  1 O 2.16
O 0.0000 0.5000 0.9056  2 Cu 1.90
O 0.5000 0.0000 0.0944  2 Cu 1.90
O 0.0000 0.5000 0.0944  2 Cu 1.90
O 0.5000 0.0000 0.9056  2 Cu 1.90
O 0.0000 0.0000 0.3832  1 Cu 1.83
O 0.5000 0.5000 0.7495  1 Pb 2.16, 1 Cu 2.28
O 0.5000 0.5000 0.2505  1 Pb 2.16, 1 Cu 2.28
O 0.0000 0.0000 0.6168  1 Cu 1.83

Summary:
spin magnetization: 6.95 Bohr magnetons per cell
DOS at the Fermi energy: 2.19 states/eV/f.u.
energy relative to the elements, uncorrected: -1.73 eV/atom
crystal system: tetragonal



No. 3
Density functional theory data (PBEsol) for a geometry-optimized ZrAs2Ru structure.

Cell: 3.1267 3.1267 6.6983 Å, 90.00 90.00 99.04°
Last column: nearest neighbours and their distance in Å.
Atoms (fractional coordinates):
Ru 0.5000 0.5000 0.5000  8 As 2.53-2.82
As 0.0000 0.0000 0.2743  4 Ru 2.53-2.82, 2 Zr 2.74
As 0.0000 0.0000 0.7257  4 Ru 2.53-2.82, 2 Zr 2.74
Zr 0.5000 0.5000 0.0000  8 As 2.74-3.01

Summary:
spin magnetization: 0.00 Bohr magnetons per cell
DOS at the Fermi energy: 3.39 states/eV/f.u.
relative energy among the computed polymorphs: 258 meV/atom
crystal system: orthorhombic



No. 4
Density functional theory data (PBEsol) for a geometry-optimized Os2RhSe structure.

Cell: 2.7957 4.7586 4.7284 Å, 105.09 107.19 90.00°
Last column: nearest neighbours and their distance in Å.
Atoms (fractional coordinates):
Os 0.2368 0.2605 0.4737  2 Se 2.57, 4 Os 2.63-2.80, 3 Rh 2.68-2.73
Os 0.7632 0.7395 0.5263  2 Se 2.57, 4 Os 2.63-2.80, 3 Rh 2.68-2.73
Rh 0.0000 0.5000 0.0000  6 Os 2.68-2.73, 4 Se 2.76, 2 Rh 2.80
Se 0.5000 0.0000 0.0000  4 Os 2.57, 4 Rh 2.76, 2 Se 2.80

Summary:
spin magnetization: 0.00 Bohr magnetons per cell
DOS at the Fermi energy: 3.50 states/eV/f.u.
energy relative to the elements, uncorrected: 0.50 eV/atom
crystal system: monoclinic



No. 5
Density functional theory data (PBEsol) for a geometry-optimized CrBr2Cl structure.

Cell: 3.1357 3.1357 9.4532 Å, 90.00 90.00 90.00°
Last column: nearest neighbours and their distance in Å.
Atoms (fractional coordinates):
Cr 0.5000 0.5000 0.7419  4 Cl 2.64, 4 Br 2.75
Br 0.0000 0.0000 0.9147  4 Cr 2.75, 1 Cl 3.07
Br 0.5000 0.5000 0.2531  4 Br 3.14
Cl 0.0000 0.0000 0.5903  4 Cr 2.64

Summary:
spin magnetization: 3.85 Bohr magnetons per cell
DOS at the Fermi energy: 3.49 states/eV/f.u.
relative energy among the computed polymorphs: 1 meV/atom
energy relative to the elements, uncorrected: -0.11 eV/atom
crystal system: tetragonal



No. 6
Density functional theory data (PBEsol) for a geometry-optimized K3BPd structure.

Cell: 5.7271 5.7271 5.7271 Å, 90.00 90.00 90.00°
Last column: nearest neighbours and their distance in Å.
Atoms (fractional coordinates):
K 0.0000 0.5000 0.0000  2 B 2.86
K 0.0000 0.0000 0.5000  2 B 2.86
K 0.5000 0.0000 0.0000  2 B 2.86
B 0.0000 0.0000 0.0000  6 K 2.86
Pd 0.5000 0.5000 0.5000  12 K 4.05

Summary:
spin magnetization: 1.99 Bohr magnetons per cell
DOS at the Fermi energy: 4.55 states/eV/f.u.
crystal system: cubic



No. 7
Density functional theory data (PBEsol) for a geometry-optimized BaAu3N structure.

Cell: 4.6541 4.6541 4.6541 Å, 90.00 90.00 90.00°
Last column: nearest neighbours and their distance in Å.
Atoms (fractional coordinates):
Au 0.0000 0.5000 0.0000  2 N 2.33
Au 0.0000 0.0000 0.5000  2 N 2.33
Au 0.5000 0.0000 0.0000  2 N 2.33
Ba 0.5000 0.5000 0.5000  12 Au 3.29
N 0.0000 0.0000 0.0000  6 Au 2.33

Summary:
spin magnetization: 0.00 Bohr magnetons per cell
DOS at the Fermi energy: 0.98 states/eV/f.u.
energy relative to the elements, uncorrected: 0.27 eV/atom
crystal system: cubic



No. 8
Density functional theory data (PBEsol) for a geometry-optimized Zn2Ag2Te structure.

Cell: 3.8491 3.8491 6.9255 Å, 106.13 106.13 90.00°
Last column: nearest neighbours and their distance in Å.
Atoms (fractional coordinates):
Zn 0.3997 0.3997 0.7994  1 Zn 2.55, 4 Ag 2.71
Zn 0.6003 0.6003 0.2006  1 Zn 2.55, 4 Ag 2.71
Te 0.0000 0.0000 0.0000  8 Zn 3.01
Ag 0.2500 0.7500 0.5000  4 Zn 2.71, 4 Ag 2.72
Ag 0.7500 0.2500 0.5000  4 Zn 2.71, 4 Ag 2.72

Summary:
spin magnetization: 0.00 Bohr magnetons per cell
DOS at the Fermi energy: 1.37 states/eV/f.u.
energy relative to the elements, uncorrected: 0.06 eV/atom
crystal system: tetragonal



No. 9
Density functional theory data (PBEsol) for a geometry-optimized LiTe2PbI structure.

Cell: 5.7909 5.7909 6.2355 Å, 90.00 90.00 90.00°
Last column: nearest neighbours and their distance in Å.
Atoms (fractional coordinates):
Pb 0.0000 0.0000 0.0000  4 Te 2.90, 2 I 3.12
I 0.0000 0.0000 0.5000  2 Pb 3.12
Te 0.0000 0.5000 0.0000  2 Pb 2.90
Te 0.5000 0.0000 0.0000  2 Pb 2.90
Li 0.5000 0.5000 0.5000  4 I 4.09, 8 Te 4.25

Summary:
spin magnetization: 0.00 Bohr magnetons per cell
DOS at the Fermi energy: 5.22 states/eV/f.u.
relative energy among the computed polymorphs: 173 meV/atom
energy relative to the elements, uncorrected: 0.06 eV/atom
crystal system: tetragonal



No. 10
Density functional theory data (PBEsol) for a geometry-optimized HgSbIr2 structure.

Cell: 3.6671 4.3079 4.3079 Å, 90.00 90.00 90.00°
Last column: nearest neighbours and their distance in Å.
Atoms (fractional coordinates):
Hg 0.5000 0.0000 0.0000  8 Ir 2.83, 4 Sb 3.05
Ir 0.0000 0.0000 0.5000  4 Sb 2.83, 4 Hg 2.83, 4 Ir 3.05
Ir 0.0000 0.5000 0.0000  4 Sb 2.83, 4 Hg 2.83, 4 Ir 3.05
Sb 0.5000 0.5000 0.5000  8 Ir 2.83, 4 Hg 3.05

Summary:
spin magnetization: 0.00 Bohr magnetons per cell
DOS at the Fermi energy: 2.06 states/eV/f.u.
relative energy among the computed polymorphs: 73 meV/atom
energy relative to the elements, uncorrected: 0.38 eV/atom
crystal system: tetragonal



No. 11
Density functional theory data (PBEsol) for a geometry-optimized MnZnW structure.

Cell: 2.6454 2.6454 6.1104 Å, 102.50 102.50 90.00°
Last column: nearest neighbours and their distance in Å.
Atoms (fractional coordinates):
Mn 0.9958 0.9958 0.9915  4 Zn 2.60, 4 Mn 2.65, 4 W 2.70
W 0.6637 0.6637 0.3273  4 W 2.65, 4 Mn 2.70, 4 Zn 2.78
Zn 0.3406 0.3406 0.6811  4 Mn 2.60, 4 Zn 2.65, 4 W 2.78

Summary:
spin magnetization: 2.29 Bohr magnetons per cell
DOS at the Fermi energy: 1.91 states/eV/f.u.
relative energy among the computed polymorphs: 60 meV/atom
crystal system: tetragonal



Quick rundown of uncorrected energy, same order as above: -5.579, -6.804, -7.753, -8.602, -4.110, -2.137, -4.221, -2.599, -2.899, -5.814, -8.119 eV per atom